Pm6P3PtS2 after structural relaxation. Source: Alexandria via LeMat-Bulk, functional GGA-PBE.

Properties
* calculated total energy: -0.4832 Ry per atom
* spin magnetization: 0.0 μB per cell
* N(E_F): 0.399 states/eV/atom

Structure (CIF):
```
data_Pm6P3PtS2
_chemical_formula_sum 'Pm12 P6 Pt2 S4'
_cell_length_a 17.9295
_cell_length_b 4.1026
_cell_length_c 8.2463
_cell_angle_alpha 90.00
_cell_angle_beta 103.25
_cell_angle_gamma 90.00
_symmetry_space_group_name_H-M 'C 1 2/m 1'
_symmetry_Int_Tables_number 12
_symmetry_space_group_name_Hall '-C 2y'
loop_
_atom_site_label
_atom_site_type_symbol
_atom_site_fract_x
_atom_site_fract_y
_atom_site_fract_z
_atom_site_occupancy
Pm1 Pm 0.0009 0.0000 0.2440 1
Pm2 Pm 0.1662 0.5000 0.0863 1
Pm3 Pm 0.1697 0.5000 0.5814 1
P1 P 0.0000 0.5000 0.0000 1
P2 P 0.1673 0.0000 0.3321 1
Pt1 Pt 0.0000 0.5000 0.5000 1
S1 S 0.1676 0.0000 0.8348 1
```